Version w
A plane-wave DFT calculation with PBE was carried out for a geometry-optimized ScV3Ag structure.

Cell: 4.528 4.528 4.528 Å, 90.00 90.00 90.00°
Space group Pm-3m (No. 221)
Symmetry-distinct sites (fractional):
Sc: 0.000 0.000 0.000 (multiplicity 1)
V: 0.000 0.000 0.500 (multiplicity 3)
Ag: 0.500 0.500 0.500 (multiplicity 1)

As for the density of states at the Fermi level: 1.10 states/eV per atom.

***

Version x
A plane-wave DFT calculation with PBE was carried out for a geometry-optimized ScV3Ag structure.

Cell: 4.874 4.874 4.874 Å, 90.00 90.00 90.00°
Space group Pm-3m (No. 221)
Symmetry-distinct sites (fractional):
Sc: 0.000 0.000 0.000 (multiplicity 1)
V: 0.000 0.500 0.500 (multiplicity 3)
Ag: 0.500 0.500 0.500 (multiplicity 1)

As for the density of states at the Fermi level: 2.56 states/eV per atom.

***

Computed stability ranking, most favorable first: version x, version w

***

Version w
A plane-wave DFT calculation with PBE was carried out for a geometry-optimized ScAgW2 structure.

Cell: 2.784 4.943 5.167 Å, 90.00 98.04 90.00°
Space group P2/m (No. 10)
Symmetry-distinct sites (fractional):
Sc: 0.000 0.000 0.000 (multiplicity 1)
Ag: 0.500 0.000 0.500 (multiplicity 1)
W: 0.304 0.500 0.759 (multiplicity 2)

As for the density of states at the Fermi level: 0.76 states/eV per atom.

***

Version x
A plane-wave DFT calculation with PBE was carried out for a geometry-optimized ScAgW2 structure.

Cell: 2.8764 2.8764 29.6395 Å, 90.00 90.00 120.00°
Space group R-3m (No. 166, hexagonal axes)
Symmetry-distinct sites (fractional):
Sc: 0.0000 0.0000 0.0000 (multiplicity 3)
Ag: 0.0000 0.0000 0.5000 (multiplicity 3)
W: 0.0000 0.0000 0.2491 (multiplicity 6)

As for the density of states at the Fermi level: 1.26 states/eV per atom.

***

Version y
A plane-wave DFT calculation with PBE was carried out for a geometry-optimized ScAgW2 structure.

Cell: 3.514 3.514 5.674 Å, 90.00 90.00 90.00°
Space group P4/mmm (No. 123)
Symmetry-distinct sites (fractional):
Sc: 0.000 0.000 0.000 (multiplicity 1)
Ag: 0.000 0.000 0.500 (multiplicity 1)
W: 0.500 0.500 0.252 (multiplicity 2)

As for the density of states at the Fermi level: 1.02 states/eV per atom.

***

Computed stability ranking, most favorable first: version w, version x, version y

***

Version w
A plane-wave DFT calculation with PBE was carried out for a geometry-optimized ScAgW2 structure.

Cell: 5.502 9.844 2.770 Å, 90.00 111.57 90.00°
Space group C2/m (No. 12)
Symmetry-distinct sites (fractional):
Sc: 0.000 0.000 0.000 (multiplicity 2)
Ag: 0.000 0.500 0.000 (multiplicity 2)
W: 0.250 0.250 0.500 (multiplicity 4)

As for the density of states at the Fermi level: 0.96 states/eV per atom.

***

Version x
A plane-wave DFT calculation with PBE was carried out for a geometry-optimized ScAgW2 structure.

Cell: 3.886 3.886 9.357 Å, 90.00 90.00 90.00°
Space group I4/mmm (No. 139)
Symmetry-distinct sites (fractional):
Sc: 0.000 0.000 0.000 (multiplicity 2)
Ag: 0.000 0.000 0.500 (multiplicity 2)
W: 0.000 0.500 0.250 (multiplicity 4)

As for the density of states at the Fermi level: 0.83 states/eV per atom.

***

Version y
A plane-wave DFT calculation with PBE was carried out for a geometry-optimized ScAgW2 structure.

Cell: 2.820 4.383 5.877 Å, 90.00 101.76 90.00°
Space group Pm (No. 6)
Symmetry-distinct sites (fractional):
Sc: 0.000 0.000 0.000 (multiplicity 1)
Ag: 0.422 0.500 0.752 (multiplicity 1)
W: 0.461 0.500 0.266 (multiplicity 1)
W: 0.830 0.000 0.466 (multiplicity 1)

As for the density of states at the Fermi level: 0.67 states/eV per atom.

***

Computed stability ranking, most favorable first: version y, version w, version x

***

Version w
A plane-wave DFT calculation with PBE was carried out for a geometry-optimized ScAgW2 structure.

Cell: 2.773 4.187 6.105 Å, 90.00 90.00 90.00°
Space group Pmm2 (No. 25)
Symmetry-distinct sites (fractional):
Sc: 0.000 0.000 0.000 (multiplicity 1)
Ag: 0.500 0.500 0.759 (multiplicity 1)
W: 0.000 0.000 0.486 (multiplicity 1)
W: 0.500 0.500 0.276 (multiplicity 1)

As for the density of states at the Fermi level: 0.83 states/eV per atom.

***

Version x
A plane-wave DFT calculation with PBE was carried out for a geometry-optimized ScAgW2 structure.

Cell: 3.511 4.703 8.662 Å, 90.00 90.00 90.00°
Space group Imm2 (No. 44)
Symmetry-distinct sites (fractional):
Sc: 0.000 0.000 0.000 (multiplicity 2)
Ag: 0.000 0.500 0.238 (multiplicity 2)
W: 0.000 0.000 0.473 (multiplicity 2)
W: 0.000 0.500 0.761 (multiplicity 2)

As for the density of states at the Fermi level: 0.97 states/eV per atom.

***

Version y
A plane-wave DFT calculation with PBE was carried out for a geometry-optimized ScAgW2 structure.

Cell: 5.496 9.239 2.757 Å, 90.00 90.00 90.00°
Space group Cmmm (No. 65)
Symmetry-distinct sites (fractional):
Sc: 0.000 0.000 0.000 (multiplicity 2)
Ag: 0.000 0.500 0.000 (multiplicity 2)
W: 0.250 0.250 0.500 (multiplicity 4)

As for the density of states at the Fermi level: 0.71 states/eV per atom.

***

Version z
A plane-wave DFT calculation with PBE was carried out for a geometry-optimized ScAgW2 structure.

Cell: 7.687 7.687 5.205 Å, 90.00 90.00 90.00°
Space group I-42d (No. 122)
Symmetry-distinct sites (fractional):
Sc: 0.000 0.000 0.000 (multiplicity 4)
Ag: 0.000 0.000 0.500 (multiplicity 4)
W: 0.226 0.250 0.625 (multiplicity 8)

As for the density of states at the Fermi level: 0.73 states/eV per atom.

***

Computed stability ranking, most favorable first: version w, version x, version y, version z

***

Version w
A plane-wave DFT calculation with PBE was carried out for a geometry-optimized ScAgW2 structure.

Cell: 3.863 3.863 4.684 Å, 90.00 90.00 90.00°
Space group P4/mmm (No. 123)
Symmetry-distinct sites (fractional):
Sc: 0.000 0.000 0.000 (multiplicity 1)
Ag: 0.500 0.500 0.000 (multiplicity 1)
W: 0.000 0.500 0.500 (multiplicity 2)

As for the density of states at the Fermi level: 0.50 states/eV per atom.

***

Version x
A plane-wave DFT calculation with PBE was carried out for a geometry-optimized ScAgW2 structure.

Cell: 2.8628 2.8628 29.7681 Å, 90.00 90.00 120.00°
Space group R3m (No. 160, hexagonal axes)
Symmetry-distinct sites (fractional):
Sc: 0.0000 0.0000 0.0000 (multiplicity 3)
Ag: 0.0000 0.0000 0.2477 (multiplicity 3)
W: 0.0000 0.0000 0.4975 (multiplicity 3)
W: 0.0000 0.0000 0.7502 (multiplicity 3)

As for the density of states at the Fermi level: 0.64 states/eV per atom.

***

Computed stability ranking, most favorable first: version w, version x

***

Version w
A plane-wave DFT calculation with PBE was carried out for a geometry-optimized ScAgW2 structure.

Cell: 3.288 3.288 6.626 Å, 90.00 90.00 90.00°
Space group P4mm (No. 99)
Symmetry-distinct sites (fractional):
Sc: 0.000 0.000 0.000 (multiplicity 1)
Ag: 0.500 0.500 0.737 (multiplicity 1)
W: 0.000 0.000 0.464 (multiplicity 1)
W: 0.500 0.500 0.267 (multiplicity 1)

As for the density of states at the Fermi level: 1.22 states/eV per atom.

***

Version x
A plane-wave DFT calculation with PBE was carried out for a geometry-optimized ScAgW2 structure.

Cell: 2.747 2.747 9.234 Å, 90.00 90.00 90.00°
Space group P4/mmm (No. 123)
Symmetry-distinct sites (fractional):
Sc: 0.000 0.000 0.000 (multiplicity 1)
Ag: 0.000 0.000 0.500 (multiplicity 1)
W: 0.500 0.500 0.255 (multiplicity 2)

As for the density of states at the Fermi level: 0.69 states/eV per atom.

***

Version y
A plane-wave DFT calculation with PBE was carried out for a geometry-optimized ScAgW2 structure.

Cell: 3.553 4.187 9.367 Å, 90.00 90.00 90.00°
Space group Cmmm (No. 65)
Symmetry-distinct sites (fractional):
Sc: 0.000 0.000 0.000 (multiplicity 2)
Ag: 0.000 0.000 0.500 (multiplicity 2)
W: 0.000 0.500 0.253 (multiplicity 4)

As for the density of states at the Fermi level: 0.44 states/eV per atom.

***

Version z
A plane-wave DFT calculation with PBE was carried out for a geometry-optimized ScAgW2 structure.

Cell: 2.756 4.720 5.480 Å, 90.00 90.00 90.00°
Space group Pmmm (No. 47)
Symmetry-distinct sites (fractional):
Sc: 0.000 0.000 0.000 (multiplicity 1)
Ag: 0.000 0.000 0.500 (multiplicity 1)
W: 0.500 0.500 0.236 (multiplicity 2)

As for the density of states at the Fermi level: 0.62 states/eV per atom.

***

Computed stability ranking, most favorable first: version w, version y, version x, version z

***

Version w
A plane-wave DFT calculation with PBE was carried out for a geometry-optimized ScAgW2 structure.

Cell: 2.751 2.751 9.233 Å, 90.00 90.00 90.00°
Space group P4mm (No. 99)
Symmetry-distinct sites (fractional):
Sc: 0.000 0.000 0.000 (multiplicity 1)
Ag: 0.500 0.500 0.738 (multiplicity 1)
W: 0.000 0.000 0.495 (multiplicity 1)
W: 0.500 0.500 0.249 (multiplicity 1)

As for the density of states at the Fermi level: 0.56 states/eV per atom.

***

Version x
A plane-wave DFT calculation with PBE was carried out for a geometry-optimized ScAgW2 structure.

Cell: 3.272 4.606 9.332 Å, 90.00 90.00 90.00°
Space group Cmm2 (No. 35)
Symmetry-distinct sites (fractional):
Sc: 0.000 0.000 0.000 (multiplicity 2)
Ag: 0.000 0.500 0.264 (multiplicity 2)
W: 0.000 0.000 0.519 (multiplicity 2)
W: 0.000 0.500 0.746 (multiplicity 2)

As for the density of states at the Fermi level: 0.78 states/eV per atom.

***

Computed stability ranking, most favorable first: version x, version w

***

Version w
A plane-wave DFT calculation with PBE was carried out for a geometry-optimized ScAgW2 structure.

Cell: 6.520 6.520 6.520 Å, 90.00 90.00 90.00°
Space group Fm-3m (No. 225)
Symmetry-distinct sites (fractional):
Sc: 0.000 0.000 0.000 (multiplicity 4)
Ag: 0.000 0.000 0.500 (multiplicity 4)
W: 0.250 0.250 0.250 (multiplicity 8)

As for the density of states at the Fermi level: 1.30 states/eV per atom.

***

Version x
A plane-wave DFT calculation with PBE was carried out for a geometry-optimized ScAgW2 structure.

Cell: 9.448 2.766 5.424 Å, 90.00 94.78 90.00°
Space group Cm (No. 8)
Symmetry-distinct sites (fractional):
Sc: 0.000 0.000 0.000 (multiplicity 2)
Ag: 0.251 0.000 0.775 (multiplicity 2)
W: 0.012 0.500 0.484 (multiplicity 2)
W: 0.258 0.500 0.286 (multiplicity 2)

As for the density of states at the Fermi level: 0.73 states/eV per atom.

***

Computed stability ranking, most favorable first: version x, version w

***

Version w
A plane-wave DFT calculation with PBE was carried out for a geometry-optimized YScAg2 structure.

Cell: 3.099 5.360 11.555 Å, 90.00 90.00 90.00°
Space group Immm (No. 71)
Symmetry-distinct sites (fractional):
Y: 0.000 0.000 0.000 (multiplicity 2)
Sc: 0.000 0.000 0.500 (multiplicity 2)
Ag: 0.000 0.000 0.259 (multiplicity 4)

As for the density of states at the Fermi level: 0.91 states/eV per atom.

***

Version x
A plane-wave DFT calculation with PBE was carried out for a geometry-optimized YScAg2 structure.

Cell: 3.567 4.883 10.335 Å, 90.00 90.00 90.00°
Space group Imm2 (No. 44)
Symmetry-distinct sites (fractional):
Y: 0.000 0.000 0.000 (multiplicity 2)
Sc: 0.000 0.500 0.222 (multiplicity 2)
Ag: 0.000 0.000 0.479 (multiplicity 2)
Ag: 0.000 0.500 0.756 (multiplicity 2)

As for the density of states at the Fermi level: 1.15 states/eV per atom.

***

Computed stability ranking, most favorable first: version x, version w

***

Version w
A plane-wave DFT calculation with PBE was carried out for a geometry-optimized YScAg2 structure.

Cell: 3.650 3.650 6.794 Å, 90.00 90.00 90.00°
Space group P4mm (No. 99)
Symmetry-distinct sites (fractional):
Y: 0.000 0.000 0.000 (multiplicity 1)
Sc: 0.500 0.500 0.677 (multiplicity 1)
Ag: 0.000 0.000 0.472 (multiplicity 1)
Ag: 0.500 0.500 0.245 (multiplicity 1)

As for the density of states at the Fermi level: 0.64 states/eV per atom.

***

Version x
A plane-wave DFT calculation with PBE was carried out for a geometry-optimized YScAg2 structure.

Cell: 7.868 7.868 6.178 Å, 90.00 90.00 90.00°
Space group I-42d (No. 122)
Symmetry-distinct sites (fractional):
Y: 0.000 0.000 0.000 (multiplicity 4)
Sc: 0.000 0.000 0.500 (multiplicity 4)
Ag: 0.230 0.250 0.625 (multiplicity 8)

As for the density of states at the Fermi level: 1.24 states/eV per atom.

***

Computed stability ranking, most favorable first: version w, version x

***

Version w
A plane-wave DFT calculation with PBE was carried out for a geometry-optimized YScAg2 structure.

Cell: 7.096 7.096 7.096 Å, 90.00 90.00 90.00°
Space group Fm-3m (No. 225)
Symmetry-distinct sites (fractional):
Y: 0.000 0.000 0.000 (multiplicity 4)
Sc: 0.000 0.000 0.500 (multiplicity 4)
Ag: 0.250 0.250 0.250 (multiplicity 8)

As for the density of states at the Fermi level: 0.49 states/eV per atom.

***

Version x
A plane-wave DFT calculation with PBE was carried out for a geometry-optimized YScAg2 structure.

Cell: 10.559 3.409 5.163 Å, 90.00 104.66 90.00°
Space group Cm (No. 8)
Symmetry-distinct sites (fractional):
Y: 0.000 0.000 0.000 (multiplicity 2)
Sc: 0.278 0.500 0.362 (multiplicity 2)
Ag: 0.023 0.500 0.513 (multiplicity 2)
Ag: 0.249 0.000 0.820 (multiplicity 2)

As for the density of states at the Fermi level: 0.92 states/eV per atom.

***

Version y
A plane-wave DFT calculation with PBE was carried out for a geometry-optimized YScAg2 structure.

Cell: 6.933 6.933 6.933 Å, 90.00 90.00 90.00°
Space group F-43m (No. 216)
Symmetry-distinct sites (fractional):
Y: 0.000 0.000 0.000 (multiplicity 4)
Sc: 0.250 0.250 0.250 (multiplicity 4)
Ag: 0.000 0.000 0.500 (multiplicity 4)
Ag: 0.250 0.250 0.750 (multiplicity 4)

As for the density of states at the Fermi level: 0.27 states/eV per atom.

***

Version z
A plane-wave DFT calculation with PBE was carried out for a geometry-optimized YScAg2 structure.

Cell: 7.107 7.115 3.526 Å, 90.00 90.00 90.00°
Space group Cmmm (No. 65)
Symmetry-distinct sites (fractional):
Y: 0.000 0.000 0.000 (multiplicity 2)
Sc: 0.000 0.500 0.000 (multiplicity 2)
Ag: 0.250 0.250 0.500 (multiplicity 4)

As for the density of states at the Fermi level: 0.58 states/eV per atom.

***

Computed stability ranking, most favorable first: version w, version z, version x, version y